Below is a relaxed CeHfRh crystal, with properties calculated at the PBE level.

* space group: No. 107
* energy of formation from the pure elements: -0.435 eV/atom
* spin magnetization: 0.12 μB/atom
* Fermi-level density of states: 6.12 states/eV/cell

Unit cell a=3.2770 b=3.2770 c=6.4577 alpha=104.70 beta=104.70 gamma=90.00
Closest atoms and distances in Å follow each position.
Element x y z (fractional)
1 Rh 0.6867 0.6867 0.3734  4 Hf 2.71
2 Hf 0.3038 0.3038 0.6075  4 Rh 2.71
3 Ce 0.0095 0.0095 0.0191  4 Rh 3.15, 4 Ce 3.28, 4 Hf 3.39